The following is a DFT calculation (PBE-GGA) of a relaxed CeEr6Se8 crystal.

Computed properties:
* calculated volume: 372.0 Å³/cell
* uncorrected formation energy: -1770 meV/atom
* DOS at the Fermi energy: 13.02 states/eV per cell
* total moment: 1.39 μB/f.u.
* symmetry: Fm-3m (225)
* ρ: 7.924 g/cm³

Cell lengths 8.073, 8.073, 8.073 Å; angles 60.00, 60.00, 60.00 degrees
Last column: magnetic moment on the atom in μB.
Sites, in units of the cell vectors:
Er: 0.500 0.000 0.500  0.03
Er: 0.000 0.000 0.500  0.03
Er: 0.500 0.500 0.000  0.03
Er: 0.000 0.500 0.500  0.03
Er: 0.500 0.000 0.000  0.03
Er: 0.000 0.500 0.000  0.03
Se: 0.750 0.750 0.750  0.00
Se: 0.261 0.739 0.739  0.00
Se: 0.739 0.739 0.261  0.00
Se: 0.250 0.250 0.250  0.00
Se: 0.261 0.739 0.261  0.00
Se: 0.739 0.261 0.739  0.00
Se: 0.261 0.261 0.739  0.00
Se: 0.739 0.261 0.261  0.00
Ce: 0.000 0.000 0.000  0.94